(1)
Material: CePmTh2
Method: DFT, GGA-PBE
State: relaxed

Output
ΔH_f (0 K): 0.32 eV/f.u.
Magnetization: 0.28 μB per cell
SG: P4/mmm (123)
DOS at the Fermi energy: 2.103 states/eV per atom

a b c (Å): 5.0338 5.0338 4.9638
angles (deg): 90.00 90.00 90.00
With the nearest neighbours (Å) after each atom.
Fractional positions:
Ce 0.0000 0.0000 0.0000  8 Th 3.53, 4 Pm 3.56
Pm 0.5000 0.5000 0.0000  8 Th 3.53, 4 Ce 3.56
Th 0.0000 0.5000 0.5000  4 Pm 3.53, 4 Ce 3.53, 4 Th 3.56
Th 0.5000 0.0000 0.5000  4 Pm 3.53, 4 Ce 3.53, 4 Th 3.56

=====

(2)
Material: NdGdAl
Method: DFT, GGA-PBE
State: relaxed

Output
ΔH_f (0 K): 1.03 eV/f.u.
Magnetization: 8.03 μB per cell
SG: I4mm (107)
DOS at the Fermi energy: 1.497 states/eV per atom

a b c (Å): 8.8384 8.8384 8.8384
angles (deg): 158.35 158.35 30.81
With the nearest neighbours (Å) after each atom.
Fractional positions:
Nd 0.0000 0.0000 0.0000  4 Al 3.16, 4 Nd 3.32, 1 Gd 3.44
Gd 0.7980 0.7980 0.0000  1 Al 2.96
Al 0.6242 0.6242 0.0000  1 Gd 2.96, 4 Nd 3.16